# 1
Compound: Y2ZrHg2
Source: Alexandria via LeMat-Bulk
Functional: GGA-PBE
Structure: relaxed

Results
Formation energy ... -0.239 eV/atom
Crystal system ... tetragonal
Energy above the most stable polymorph in this dataset ... 0 meV per atom

a b c (Å): 8.347 8.347 3.728
angles (deg): 90.00 90.00 90.00
Atoms (fractional coordinates):
Y1 0.169 0.331 0.000
Y2 0.331 0.831 0.000
Y3 0.669 0.169 0.000
Y4 0.831 0.669 0.000
Zr1 0.000 0.000 0.500
Zr2 0.500 0.500 0.500
Hg1 0.132 0.632 0.500
Hg2 0.368 0.132 0.500
Hg3 0.632 0.868 0.500
Hg4 0.868 0.368 0.500


# 2
Compound: TiAgPtO4
Source: Alexandria via LeMat-Bulk
Functional: GGA-PBE
Structure: relaxed

Results
Crystal system ... orthorhombic
Raw formation energy ... -1.287 eV/atom

a b c (Å): 6.530 6.530 6.530
angles (deg): 125.28 121.60 84.17
Atoms (fractional coordinates):
Ti1 0.500 0.000 0.000
Ti2 0.500 0.500 0.500
Ag1 0.123 0.373 0.750
Ag2 0.877 0.627 0.250
Pt1 0.000 0.000 0.000
Pt2 0.500 0.000 0.500
O1 0.289 0.252 0.463
O2 0.289 0.826 0.037
O3 0.294 0.745 0.550
O4 0.305 0.255 0.050
O5 0.695 0.745 0.950
O6 0.706 0.255 0.450
O7 0.711 0.174 0.963
O8 0.711 0.748 0.537


# 3
Compound: CaAg2Rh2
Source: Alexandria via LeMat-Bulk
Functional: GGA-PBE
Structure: relaxed

Results
Formation energy ... 0.125 eV/atom
Crystal system ... tetragonal
Energy above the most stable polymorph in this dataset ... 46 meV per atom

a b c (Å): 6.689 6.689 6.689
angles (deg): 144.35 144.35 51.31
Atoms (fractional coordinates):
Ca1 0.000 0.000 0.000
Ag1 0.250 0.750 0.500
Ag2 0.750 0.250 0.500
Rh1 0.400 0.400 0.000
Rh2 0.600 0.600 0.000


# 4
Compound: CePaBe
Source: Alexandria via LeMat-Bulk
Functional: GGA-PBE
Structure: relaxed

Results
Formation energy ... 0.244 eV/atom
Crystal system ... trigonal
Energy above the most stable polymorph in this dataset ... 56 meV per atom

a b c (Å): 4.424 4.424 3.602
angles (deg): 90.00 90.00 120.00
Atoms (fractional coordinates):
Ce1 0.000 0.000 0.000
Pa1 0.333 0.667 0.340
Be1 0.667 0.333 0.667